No. 1
Density functional theory data (meta-GGA SCAN) for a crystal of Ta2ZnCo2 relaxed with PBEsol.

## Properties
Energy of formation from the pure elements (meV/atom): -111

Unit cell a=6.824 b=6.824 c=2.982 alpha=90.00 beta=90.00 gamma=90.00
Space group P4/mbm (No. 127)
Asymmetric unit:
Ta 0.171 0.329 0.000 x4
Zn 0.000 0.000 0.500 x2
Co 0.128 0.628 0.500 x4

=====

No. 2
Density functional theory data (meta-GGA SCAN) for a crystal of Ba2SnH2 relaxed with PBEsol.

## Properties
Total energy (eV for the cell shown): -249.70

Unit cell a=4.071 b=4.071 c=15.881 alpha=90.00 beta=90.00 gamma=90.00
Space group I4/mmm (No. 139)
Asymmetric unit:
Ba 0.000 0.000 0.150 x4
Sn 0.000 0.000 0.500 x2
H 0.000 0.500 0.250 x4

=====

No. 3
Density functional theory data (meta-GGA SCAN) for a crystal of BaZn2Br relaxed with PBEsol.

## Properties
Raw formation energy (eV/f.u.): -2.195

Unit cell a=4.461 b=4.461 c=5.485 alpha=90.00 beta=90.00 gamma=90.00
Space group P4/mmm (No. 123)
Asymmetric unit:
Ba 0.000 0.000 0.000 x1
Zn 0.000 0.500 0.500 x2
Br 0.500 0.500 0.000 x1

=====

No. 4
Density functional theory data (meta-GGA SCAN) for a crystal of ScTlRh relaxed with PBEsol.

## Properties
Energy of formation from the pure elements (meV/atom): -486

Unit cell a=6.335 b=6.335 c=6.335 alpha=90.00 beta=90.00 gamma=90.00
Space group F-43m (No. 216)
Asymmetric unit:
Sc 0.000 0.000 0.000 x4
Tl 0.000 0.000 0.500 x4
Rh 0.250 0.250 0.750 x4

=====

No. 5
Density functional theory data (meta-GGA SCAN) for a crystal of Mo2P3O12 relaxed with PBEsol.

## Properties
Raw formation energy (eV/f.u.): -38.632
Excess energy over the best structure of this formula in the dataset (eV/atom): 0.0203

Unit cell a=8.6614 b=8.6614 c=21.9985 alpha=90.00 beta=90.00 gamma=120.00
Space group R-3c (No. 167, hexagonal axes)
Asymmetric unit:
Mo 0.0000 0.0000 0.1421 x12
P 0.0000 0.2835 0.2500 x18
O 0.0302 0.1982 0.1935 x36
O 0.0300 0.1982 0.9087 x36

=====

No. 6
Density functional theory data (meta-GGA SCAN) for a crystal of Li2Ti3VO8 relaxed with PBEsol.

## Properties
Raw formation energy (eV/f.u.): -40.966
Excess energy over the best structure of this formula in the dataset (eV/atom): 0.1012

Unit cell a=10.086 b=5.846 c=5.920 alpha=90.00 beta=123.92 gamma=90.00
Space group C2/m (No. 12)
Asymmetric unit:
Li 0.000 0.000 0.000 x2
Li 0.000 0.500 0.000 x2
Ti 0.000 0.000 0.500 x2
Ti 0.250 0.250 0.500 x4
V 0.000 0.500 0.500 x2
O 0.014 0.246 0.278 x8
O 0.238 0.000 0.711 x4
O 0.240 0.500 0.711 x4

=====

No. 7
Density functional theory data (meta-GGA SCAN) for a crystal of Al2GaW relaxed with PBEsol.

## Properties
Energy of formation from the pure elements (meV/atom): 575

Unit cell a=7.163 b=7.163 c=5.197 alpha=90.00 beta=90.00 gamma=90.00
Space group I-42d (No. 122)
Asymmetric unit:
Al 0.243 0.750 0.125 x8
Ga 0.000 0.000 0.000 x4
W 0.000 0.000 0.500 x4

=====

No. 8
Density functional theory data (meta-GGA SCAN) for a crystal of Mo2Ru relaxed with PBEsol.

## Properties
Energy of formation from the pure elements (meV/atom): 5

Unit cell a=9.511 b=9.511 c=4.895 alpha=90.00 beta=90.00 gamma=90.00
Space group P4_2/mnm (No. 136)
Asymmetric unit:
Mo 0.039 0.371 0.000 x8
Mo 0.106 0.106 0.000 x4
Mo 0.178 0.822 0.249 x8
Ru 0.000 0.000 0.500 x2
Ru 0.070 0.264 0.500 x8